(1)
The following is a DFT calculation (PBE) of a relaxed RbHfB crystal.

Cell and atoms, written as POSCAR:
```
RbHfB
1.0
3.691 -0.002 0.004
-1.404 10.483 -0.874
1.840 0.221 5.416
B Hf Rb
2 2 2
direct
0.459 0.376 0.875
0.598 0.341 0.569
0.120 0.459 0.617
0.815 0.362 0.153
0.479 0.709 0.088
0.981 0.098 0.617
```

Output
raw total energy	-32.57	eV per cell
energy of formation from the pure elements	42.21	kJ per mole of atoms

(2)
The following is a DFT calculation (PBE) of a relaxed AlOsPt2 crystal.

Cell and atoms, written as POSCAR:
```
AlOsPt2
1.0
2.780 0.000 0.000
0.000 3.785 0.000
0.000 0.000 5.668
Os Al Pt
1 1 2
direct
0.500 0.500 0.750
0.000 0.000 0.496
0.000 0.000 0.986
0.500 0.500 0.267
```

Output
raw total energy	-28.01	eV per cell
energy of formation from the pure elements	-23.04	kJ per mole of atoms

(3)
The following is a DFT calculation (PBE) of a relaxed CeIn3 crystal.

Cell and atoms, written as POSCAR:
```
CeIn3
1.0
4.707 0.000 0.000
0.000 4.707 0.000
0.000 0.000 4.706
Ce In
1 3
direct
0.500 0.000 0.583
0.000 0.000 0.083
0.000 0.500 0.583
0.500 0.500 0.083
```

Output
raw total energy	-15.79	eV per cell
energy of formation from the pure elements	-39.47	kJ per mole of atoms

(4)
The following is a DFT calculation (PBE) of a relaxed K5Fe crystal.

Cell and atoms, written as POSCAR:
```
K5Fe
1.0
0.000 5.674 5.674
5.674 0.000 5.674
5.674 5.674 0.000
K Fe
5 1
direct
0.250 0.250 0.250
0.626 0.626 0.626
0.626 0.626 0.122
0.122 0.626 0.626
0.626 0.122 0.626
0.000 0.000 0.000
```

Output
raw total energy	-9.71	eV per cell
energy of formation from the pure elements	68.15	kJ per mole of atoms